A plane-wave DFT calculation with PBE-GGA was carried out for a relaxed Nd4Ho3Hg4 crystal.

Computed properties:
M_tot ... 0.00 μB per cell
Total DFT energy (no corrections) ... -0.12381 hartree per atom
Calculated density ... 9.6 g/cm3
Space group ... No. 71
Energy of formation ... -3.0 eV/f.u.

```
11
Lattice="-1.810 4.650 9.609 1.810 -4.650 9.609 1.810 4.650 -9.609" Properties=species:S:1:pos:R:3 pbc="T T T"
Nd 1.810 -3.013 6.544
Nd 0.000 1.637 3.065
Nd 1.810 3.013 6.544
Nd 0.000 7.663 3.065
Ho 1.810 0.000 0.000
Ho 0.000 0.000 7.775
Ho 0.000 0.000 11.443
Hg 1.810 0.000 5.276
Hg 0.000 2.688 0.000
Hg 0.000 6.613 0.000
Hg 0.000 4.650 4.333
```

***

A plane-wave DFT calculation with PBE-GGA was carried out for a relaxed NdHo3Hg4 crystal.

Computed properties:
M_tot ... 0.03 μB per cell
Total DFT energy (no corrections) ... -0.10115 hartree per atom
Energy above the most stable polymorph in this dataset ... 184.0 meV/atom
Calculated density ... 11.0 g/cm3
Space group ... No. 12
Energy of formation ... -2.3 eV/f.u.

```
8
Lattice="7.276 -2.644 0.000 7.276 2.644 0.000 -1.954 0.000 5.656" Properties=species:S:1:pos:R:3 pbc="T T T"
Nd 0.000 0.000 0.000
Ho 2.969 0.000 5.196
Ho 6.299 0.000 2.828
Ho 9.628 0.000 0.460
Hg 0.394 0.000 3.603
Hg 2.926 0.000 1.881
Hg 9.671 0.000 3.775
Hg 12.203 0.000 2.053
```

***

> Which of these has the lowest total DFT energy (no corrections)?

Nd4Ho3Hg4

***

> Which value of energy of formation does entry 1 give?

-3.0 eV/f.u.

***

> Look up the total DFT energy (no corrections) of the second one.

-0.10115 hartree per atom